No. 1
## ErMnPb2S5 (PBE-GGA)

Data for a relaxed ErMnPb2S5 crystal.

```
ErMnPb2S5
1.0
-2.2674 -0.8513 3.1257
-5.4082 -1.9102 -6.9446
4.3079 -11.8372 -0.0989
Er Mn Pb S
2 2 4 10
Direct
0.8012 0.6024 0.5281
0.1988 0.3976 0.0281
0.5552 0.1104 0.9301
0.4448 0.8896 0.4301
0.8799 0.7598 0.8275
0.1322 0.2644 0.6733
0.1201 0.2402 0.3275
0.8678 0.7356 0.1733
0.3500 0.6999 0.0142
0.6815 0.3629 0.8798
0.4932 0.9864 0.7752
0.2962 0.5924 0.6747
0.9596 0.9192 0.5209
0.6500 0.3001 0.5142
0.3185 0.6371 0.3798
0.5068 0.0136 0.2752
0.7038 0.4076 0.1747
0.0404 0.0808 0.0209
```

## Properties
Size of the total moment in μB/f.u.: 4.000
Final energy in eV per cell: -99.94
E_form (uncorrected) in meV/atom: -909.6
Crystal system: orthorhombic
Space group: Cmc2_1, No. 36
Fermi-level density of states in states/eV/f.u.: 3.3


No. 2
## LiCeAsPt (PBE-GGA)

Data for a relaxed LiCeAsPt crystal.

```
LiCeAsPt
1.0
4.8232 0.0000 0.0000
2.4116 4.1770 0.0000
2.4116 1.3923 3.9381
As Ce Pt Li
1 1 1 1
Direct
0.2500 0.2500 0.2500
0.0000 0.0000 0.0000
0.7500 0.7500 0.7500
0.5000 0.5000 0.5000
```

## Properties
Size of the total moment in μB/f.u.: 0.096
Final energy in eV per cell: -21.95
Crystal system: cubic
Space group: F-43m, No. 216
ΔH_f (0 K) in eV/atom: -0.8532
Fermi-level density of states in states/eV/f.u.: 0.8


No. 3
## NdIn12Ni6 (PBE-GGA)

Data for a relaxed NdIn12Ni6 crystal.

```
NdIn12Ni6
1.0
-6.4219 0.9070 4.0650
-2.0553 -4.2061 -6.0558
4.3980 -4.6196 4.2314
Nd In Ni
1 12 6
Direct
0.0000 0.0000 0.0000
0.8804 0.1196 0.5000
0.8396 0.5823 0.5823
0.5823 0.5823 0.8396
0.4177 0.1604 0.4177
0.4177 0.4177 0.1604
0.1604 0.4177 0.4177
0.1196 0.5000 0.8804
0.5000 0.8804 0.1196
0.1196 0.8804 0.5000
0.8804 0.5000 0.1196
0.5000 0.1196 0.8804
0.5823 0.8396 0.5823
0.6988 0.2707 0.2707
0.2707 0.2707 0.6988
0.2707 0.6988 0.2707
0.7293 0.7293 0.3012
0.3012 0.7293 0.7293
0.7293 0.3012 0.7293
```

## Properties
Size of the total moment in μB/f.u.: 0.000
Final energy in eV per cell: -73.48
Crystal system: trigonal
Space group: R-3m, No. 166
ΔH_f (0 K) in eV/atom: -0.0610
Fermi-level density of states in states/eV/f.u.: 10.5


No. 4
## Nd7Sn2Ge2 (PBE-GGA)

Data for a relaxed Nd7Sn2Ge2 crystal.

```
Nd7Sn2Ge2
1.0
-6.5265 -2.9680 -0.0902
1.3560 -3.1684 6.1961
-0.7465 6.2814 3.3762
Nd Sn Ge
7 2 2
Direct
0.0001 0.2754 0.5001
0.5001 0.7246 0.0001
0.9999 0.7246 0.4999
0.4999 0.2754 0.9999
0.0000 0.0000 0.0000
0.5000 0.7538 0.5000
0.5000 0.2462 0.5000
0.8243 0.5000 0.8243
0.1757 0.5000 0.1757
0.7270 0.0000 0.2730
0.2730 0.0000 0.7270
```

## Properties
Size of the total moment in μB/f.u.: 0.000
Final energy in eV per cell: -55.45
Crystal system: orthorhombic
Space group: Cmmm, No. 65
ΔH_f (0 K) in eV/atom: -0.4399
Fermi-level density of states in states/eV/f.u.: 12.1


No. 5
## Sb3TeAs (PBE-GGA)

Data for a relaxed Sb3TeAs crystal.

```
Sb3TeAs
1.0
5.3976 0.0000 0.0000
0.0000 5.3976 0.0000
0.0000 0.0000 5.3976
Sb As Te
3 1 1
Direct
0.0000 0.5000 0.0000
0.0000 0.0000 0.5000
0.5000 0.0000 0.0000
0.0000 0.0000 0.0000
0.5000 0.5000 0.5000
```

## Properties
Size of the total moment in μB/f.u.: 0.000
Final energy in eV per cell: -16.99
E_form (uncorrected) in meV/atom: 632.9
Crystal system: cubic
Energy relative to the lowest polymorph listed for this composition in eV/f.u.: 0.00
Space group: Pm-3m, No. 221
Fermi-level density of states in states/eV/f.u.: 5.2


No. 6
## Pr3Ho4Tm8 (PBE-GGA)

Data for a relaxed Pr3Ho4Tm8 crystal.

```
Pr3Ho4Tm8
1.0
-5.3113 2.1774 3.4282
3.0352 -8.0711 3.3294
7.7963 3.8532 3.1321
Pr Ho Tm
3 4 8
Direct
0.5000 0.5000 0.0000
0.5000 0.0000 0.5000
0.5000 0.5000 0.5000
0.5000 0.0000 0.0000
0.0000 0.5000 0.0000
0.0000 0.0000 0.0000
0.0000 0.0000 0.5000
0.5292 0.2652 0.2652
0.0000 0.6381 0.3619
0.0053 0.2619 0.2619
0.5000 0.7480 0.2520
0.5000 0.2520 0.7480
0.9947 0.7381 0.7381
0.0000 0.3619 0.6381
0.4708 0.7348 0.7348
```

## Properties
Size of the total moment in μB/f.u.: 0.007
Final energy in eV per cell: -62.41
Crystal system: monoclinic
Space group: C2/m, No. 12
ΔH_f (0 K) in eV/atom: 0.4006
Fermi-level density of states in states/eV/f.u.: 30.1